Record 1
Density functional theory data (PBE-GGA) for KLa2As after structural relaxation.

a = 6.2860 Å, b = 6.4592 Å, c = 3.6742 Å
α = 75.84°, β = 85.32°, γ = 117.61°
Positions (direct):
As  0.0000  0.5000  0.5000
K  0.5000  0.5000  0.0000
La  0.0000  0.0000  0.0000
La  0.5000  0.0000  0.5000

- ρ: 5.21 g/cm3
- VASP energy: -3.965 eV per atom
- Calculated formation energy: -0.065 eV per atom

---

Record 2
Density functional theory data (PBE-GGA) for KLa2As after structural relaxation.

a = 5.6364 Å, b = 5.6364 Å, c = 5.6364 Å
α = 60.00°, β = 60.00°, γ = 60.00°
Site moments in Bohr magnetons follow the coordinates.
Positions (direct):
As  0.5000  0.5000  0.5000  -0.05
K  0.7500  0.7500  0.7500  0.07
La  0.0000  0.0000  0.0000  0.94
La  0.2500  0.2500  0.2500  0.73

- ρ: 5.14 g/cm3
- VASP energy: -3.777 eV per atom
- Calculated formation energy: 0.123 eV per atom

---

Record 3
Density functional theory data (PBE-GGA) for K4LaAs after structural relaxation.

a = 7.1498 Å, b = 7.1498 Å, c = 7.1498 Å
α = 60.00°, β = 60.00°, γ = 60.00°
Site moments in Bohr magnetons follow the coordinates.
Positions (direct):
K  0.8839  0.3720  0.3720  0.02
K  0.3720  0.3720  0.8839  0.02
K  0.3720  0.8839  0.3720  0.02
K  0.3720  0.3720  0.3720  0.02
La  0.7500  0.7500  0.7500  0.67
As  0.0000  0.0000  0.0000  -0.06

- ρ: 2.38 g/cm3
- VASP energy: -1.807 eV per atom
- Calculated formation energy: 0.520 eV per atom

---

> Look up the calculated formation energy of the third one.

0.520 eV per atom

---

> Which formula does entry 2 have?

KLa2As

---

Repeat the first record exactly.
Density functional theory data (PBE-GGA) for KLa2As after structural relaxation.

a = 6.2860 Å, b = 6.4592 Å, c = 3.6742 Å
α = 75.84°, β = 85.32°, γ = 117.61°
Positions (direct):
As  0.0000  0.5000  0.5000
K  0.5000  0.5000  0.0000
La  0.0000  0.0000  0.0000
La  0.5000  0.0000  0.5000

- ρ: 5.21 g/cm3
- VASP energy: -3.965 eV per atom
- Calculated formation energy: -0.065 eV per atom